{
  "formula": "Hf2CuN2",
  "functional": "PBE",
  "state": "optimized geometry",
  "dos_ef_per_ev_atom": 0.2558,
  "total_energy_ev_per_cell": -45.53,
  "total_magnetization_mub_per_fu": 0.00,
  "lattice": [[-1.890, 1.890, 5.314], [1.890, -1.890, 5.314], [1.890, 1.890, -5.314]],
  "species": ["Hf", "Hf", "Cu", "N", "N"],
  "fractional_positions": [[0.163, 0.163, 0.000], [0.837, 0.837, 0.000], [0.500, 0.500, 0.000], [0.250, 0.750, 0.500], [0.750, 0.250, 0.500]]
}



{
  "formula": "NpZn4Pd",
  "functional": "PBE",
  "state": "optimized geometry",
  "dos_ef_per_ev_atom": 1.6045,
  "e_form_ev_per_atom": -0.0580,
  "total_magnetization_mub_per_fu": 4.60,
  "lattice": [[0.000, 3.717, 3.717], [3.717, 0.000, 3.717], [3.717, 3.717, 0.000]],
  "species": ["Np", "Zn", "Zn", "Zn", "Zn", "Pd"],
  "fractional_positions": [[0.000, 0.000, 0.000], [0.376, 0.376, 0.376], [0.376, 0.376, 0.872], [0.376, 0.872, 0.376], [0.872, 0.376, 0.376], [0.750, 0.750, 0.750]]
}



{
  "formula": "Cs2SrCu2Cl6",
  "functional": "PBE",
  "state": "optimized geometry",
  "dos_ef_per_ev_atom": 0.0000,
  "total_energy_ev_per_cell": -39.81,
  "total_magnetization_mub_per_fu": 0.21,
  "lattice": [[6.632, -3.793, 0.000], [6.632, 3.793, 0.000], [-4.171, 0.000, 7.080]],
  "species": ["Cs", "Cs", "Sr", "Cu", "Cu", "Cl", "Cl", "Cl", "Cl", "Cl", "Cl"],
  "fractional_positions": [[0.223, 0.223, 0.204], [0.777, 0.777, 0.796], [0.000, 0.000, 0.500], [0.444, 0.444, 0.775], [0.556, 0.556, 0.225], [0.210, 0.709, 0.207], [0.251, 0.251, 0.665], [0.291, 0.790, 0.793], [0.709, 0.210, 0.207], [0.749, 0.749, 0.335], [0.790, 0.291, 0.793]]
}



Q: Number 3 is which compound?
A: Cs2SrCu2Cl6